Compound: UInS4
Source: Alexandria
Functional: PBE
Structure: optimized geometry

Formation energy (no corrections) in eV per atom: -0.90
Size of the total moment in μB/cell: 1.00
Crystal system: monoclinic
Symmetry: No. 10
Volume in Å³ per atom: 27.80
Total energy in eV per cell: -35.92
Theoretical density in Mg/m³: 4.79

abc: 6.5235 3.9182 6.5321
angles: 90.00 92.48 90.00
Last column: nearest neighbours and their distance in Å.
Sites, in units of the cell vectors:
U 0.0000 0.0000 0.0000  6 S 2.63
In 0.5000 0.5000 0.0000  6 S 2.65-2.77
S 0.1524 0.5000 0.2282  2 U 2.63, 1 In 2.77
S 0.3288 0.0000 0.7806  1 U 2.63, 2 In 2.65
S 0.6712 0.0000 0.2194  1 U 2.63, 2 In 2.65
S 0.8476 0.5000 0.7718  2 U 2.63, 1 In 2.77